[1]
This record from Alexandria via LeMat-Bulk describes a relaxed Rb2AgHgCl6 crystal. The functional is PBE.

Structure (POSCAR):
```
Rb2AgHgCl6
1.0
7.829 0.000 0.000
0.000 7.394 0.000
-7.501 0.000 10.620
Rb Ag Hg Cl
4 2 2 12
Direct
0.242 0.028 0.247
0.242 0.472 0.747
0.758 0.528 0.253
0.758 0.972 0.753
0.000 0.000 0.500
0.000 0.500 0.000
0.500 0.000 0.000
0.500 0.500 0.500
0.163 0.018 0.730
0.163 0.482 0.230
0.229 0.739 0.534
0.229 0.761 0.034
0.350 0.243 0.533
0.350 0.257 0.033
0.650 0.743 0.967
0.650 0.757 0.467
0.771 0.239 0.966
0.771 0.261 0.466
0.837 0.518 0.770
0.837 0.982 0.270
```

Computed properties:
density: 3.7 g cm⁻³
energy above the most stable polymorph in this dataset: 0.000 eV per atom
formation energy without anion corrections: -1.091 eV per atom

=====

[2]
This record from Alexandria via LeMat-Bulk describes a relaxed Ca2Hf2Pd crystal. The functional is PBE.

Structure (POSCAR):
```
Ca2Hf2Pd
1.0
-1.961 1.961 8.154
1.961 -1.961 8.154
1.961 1.961 -8.154
Ca Hf Pd
2 2 1
Direct
0.250 0.750 0.500
0.750 0.250 0.500
0.080 0.080 0.000
0.920 0.920 0.000
0.500 0.500 0.000
```

Computed properties:
density: 7.2 g cm⁻³
energy above the most stable polymorph in this dataset: 0.643 eV per atom
DFT formation energy: 0.77 eV per atom

=====

[3]
This record from Alexandria via LeMat-Bulk describes a relaxed MnCo2SiNi crystal. The functional is PBE.

Structure (POSCAR):
```
MnCo2SiNi
1.0
4.116 0.000 0.000
0.000 4.116 0.000
0.000 0.000 4.362
Mn Co Si Ni
1 2 1 1
Direct
0.000 0.000 0.000
0.000 0.500 0.500
0.500 0.000 0.500
0.000 0.000 0.500
0.500 0.500 0.000
```

Computed properties:
density: 5.8 g cm⁻³
formation energy without anion corrections: 0.765 eV per atom

=====

[4]
This record from Alexandria via LeMat-Bulk describes a relaxed Dy2Er7Sc2 crystal. The functional is PBE.

Structure (POSCAR):
```
Dy2Er7Sc2
1.0
6.386 -7.829 0.000
6.386 7.829 0.000
-0.512 0.000 3.485
Dy Er Sc
2 7 2
Direct
0.177 0.823 0.000
0.823 0.177 0.000
0.000 0.000 0.500
0.172 0.527 0.345
0.208 0.208 0.057
0.473 0.828 0.655
0.527 0.172 0.345
0.792 0.792 0.943
0.828 0.473 0.655
0.410 0.410 0.745
0.590 0.590 0.255
```

Computed properties:
density: 7.6 g cm⁻³
energy above the most stable polymorph in this dataset: 0.204 eV per atom
DFT formation energy: 0.37 eV per atom